# 1
DFT (PBE) results for a relaxed CuRh2Br crystal. Values from VASP.

Values from the calculation:
For the total magnetization, the calculation gives 0.00 μB per formula unit. For the energy relative to the lowest polymorph listed for this composition, the calculation gives 86 meV/atom. The crystal system is tetragonal. The calculation puts the uncorrected formation energy at 0.412 eV per atom.

Structure (Quantum ESPRESSO input):
```
&SYSTEM
  ibrav = 0, nat = 4, ntyp = 3
/
ATOMIC_SPECIES
Cu 63.55 Cu.upf
Rh 102.91 Rh.upf
Br 79.90 Br.upf
CELL_PARAMETERS angstrom
3.038 0.000 0.000
0.000 3.038 0.000
0.000 0.000 7.121
ATOMIC_POSITIONS crystal
Cu 0.000 0.000 0.000
Rh 0.000 0.000 0.428
Rh 0.500 0.500 0.215
Br 0.500 0.500 0.695
```

# 2
DFT (PBE) results for a relaxed NiPPt crystal. Values from VASP.

Values from the calculation:
For the total magnetization, the calculation gives 0.27 μB per formula unit. The crystal system is cubic. As for the energy of formation: -1.12 eV/f.u.

Structure (Quantum ESPRESSO input):
```
&SYSTEM
  ibrav = 0, nat = 3, ntyp = 3
/
ATOMIC_SPECIES
Ni 58.69 Ni.upf
P 30.97 P.upf
Pt 195.08 Pt.upf
CELL_PARAMETERS angstrom
0.000 2.764 2.764
2.764 0.000 2.764
2.764 2.764 0.000
ATOMIC_POSITIONS crystal
Ni 0.000 0.000 0.000
P 0.750 0.750 0.750
Pt 0.500 0.500 0.500
```

# 3
DFT (PBE) results for a relaxed Na4Li2Cd3 crystal. Values from VASP.

Values from the calculation:
For the total magnetization, the calculation gives 0.00 μB per formula unit. The crystal system is monoclinic. As for the energy of formation: -0.54 eV/f.u.

Structure (Quantum ESPRESSO input):
```
&SYSTEM
  ibrav = 0, nat = 18, ntyp = 3
/
ATOMIC_SPECIES
Na 22.99 Na.upf
Li 6.94 Li.upf
Cd 112.41 Cd.upf
CELL_PARAMETERS angstrom
8.031 -4.460 0.000
8.031 4.460 0.000
-0.107 0.000 6.244
ATOMIC_POSITIONS crystal
Na 0.139 0.803 0.999
Na 0.163 0.526 0.508
Na 0.197 0.861 0.501
Na 0.474 0.837 0.992
Na 0.526 0.163 0.008
Na 0.803 0.139 0.499
Na 0.837 0.474 0.492
Na 0.861 0.197 0.001
Li 0.167 0.469 0.010
Li 0.469 0.167 0.510
Li 0.531 0.833 0.490
Li 0.833 0.531 0.990
Cd 0.182 0.189 0.751
Cd 0.189 0.182 0.251
Cd 0.497 0.503 0.250
Cd 0.503 0.497 0.750
Cd 0.811 0.818 0.749
Cd 0.818 0.811 0.249
```

# 4
DFT (PBE) results for a relaxed Tb2PmRh3 crystal. Values from VASP.

Values from the calculation:
For the total magnetization, the calculation gives 0.00 μB per formula unit. For the energy relative to the lowest polymorph listed for this composition, the calculation gives 0 meV/atom. The crystal system is trigonal. As for the energy of formation: -4.74 eV/f.u.

Structure (Quantum ESPRESSO input):
```
&SYSTEM
  ibrav = 0, nat = 6, ntyp = 3
/
ATOMIC_SPECIES
Tb 158.93 Tb.upf
Pm 145.00 Pm.upf
Rh 102.91 Rh.upf
CELL_PARAMETERS angstrom
4.903 0.000 0.000
-2.452 4.246 0.000
0.000 0.000 6.002
ATOMIC_POSITIONS crystal
Tb 0.333 0.667 0.165
Tb 0.667 0.333 0.835
Pm 0.000 0.000 0.500
Rh 0.000 0.000 0.000
Rh 0.333 0.667 0.673
Rh 0.667 0.333 0.327
```

# 5
DFT (PBE) results for a relaxed LiNd2ErHg4 crystal. Values from VASP.

Values from the calculation:
For the total magnetization, the calculation gives 0.00 μB per formula unit. The crystal system is trigonal. As for the energy of formation: -3.65 eV/f.u.

Structure (Quantum ESPRESSO input):
```
&SYSTEM
  ibrav = 0, nat = 8, ntyp = 4
/
ATOMIC_SPECIES
Li 6.94 Li.upf
Nd 144.24 Nd.upf
Er 167.26 Er.upf
Hg 200.59 Hg.upf
CELL_PARAMETERS angstrom
2.620 1.513 8.647
-2.620 1.513 8.647
0.000 -3.025 8.647
ATOMIC_POSITIONS crystal
Li 0.000 0.000 0.000
Nd 0.254 0.254 0.254
Nd 0.746 0.746 0.746
Er 0.500 0.500 0.500
Hg 0.126 0.126 0.126
Hg 0.375 0.375 0.375
Hg 0.625 0.625 0.625
Hg 0.874 0.874 0.874
```

# 6
DFT (PBE) results for a relaxed InCoAg2 crystal. Values from VASP.

Values from the calculation:
For the total magnetization, the calculation gives 1.70 μB per formula unit. The crystal system is tetragonal. As for the energy of formation: 1.29 eV/f.u.

Structure (Quantum ESPRESSO input):
```
&SYSTEM
  ibrav = 0, nat = 4, ntyp = 3
/
ATOMIC_SPECIES
In 114.82 In.upf
Co 58.93 Co.upf
Ag 107.87 Ag.upf
CELL_PARAMETERS angstrom
2.926 0.000 0.000
0.000 2.926 0.000
0.000 0.000 8.235
ATOMIC_POSITIONS crystal
In 0.000 0.000 0.000
Co 0.000 0.000 0.500
Ag 0.500 0.500 0.282
Ag 0.500 0.500 0.718
```

# 7
DFT (PBE) results for a relaxed Mg3AlRh4 crystal. Values from VASP.

Values from the calculation:
For the total magnetization, the calculation gives 0.00 μB per formula unit. The crystal system is tetragonal. As for the energy of formation: -5.26 eV/f.u.

Structure (Quantum ESPRESSO input):
```
&SYSTEM
  ibrav = 0, nat = 8, ntyp = 3
/
ATOMIC_SPECIES
Mg 24.30 Mg.upf
Al 26.98 Al.upf
Rh 102.91 Rh.upf
CELL_PARAMETERS angstrom
3.066 0.000 0.000
0.000 3.066 0.000
0.000 0.000 12.521
ATOMIC_POSITIONS crystal
Mg 0.000 0.000 0.000
Mg 0.000 0.000 0.253
Mg 0.000 0.000 0.747
Al 0.000 0.000 0.500
Rh 0.500 0.500 0.127
Rh 0.500 0.500 0.385
Rh 0.500 0.500 0.615
Rh 0.500 0.500 0.873
```

# 8
DFT (PBE) results for a relaxed Zn3Au crystal. Values from VASP.

Values from the calculation:
For the total magnetization, the calculation gives 0.00 μB per formula unit. The crystal system is cubic. As for the energy of formation: -0.52 eV/f.u.

Structure (Quantum ESPRESSO input):
```
&SYSTEM
  ibrav = 0, nat = 8, ntyp = 2
/
ATOMIC_SPECIES
Zn 65.41 Zn.upf
Au 196.97 Au.upf
CELL_PARAMETERS angstrom
5.034 0.000 0.000
0.000 5.034 0.000
0.000 0.000 5.034
ATOMIC_POSITIONS crystal
Zn 0.000 0.250 0.500
Zn 0.000 0.750 0.500
Zn 0.250 0.500 0.000
Zn 0.500 0.000 0.250
Zn 0.500 0.000 0.750
Zn 0.750 0.500 0.000
Au 0.000 0.000 0.000
Au 0.500 0.500 0.500
```